[1]
# KAlAg2

A relaxed structure of KAlAg2 (PBE-GGA, Alexandria).

Energy relative to the elements = 0.260 eV per atom
Calculated volume = 175.2 Å³ per cell

abc: 7.660 7.689 2.974
angles: 90.00 90.00 90.00
Space group Cmmm (No. 65)
Asymmetric unit:
K1 0.000 0.000 0.000 [2 per cell]
Al1 0.000 0.500 0.000 [2 per cell]
Ag1 0.250 0.250 0.500 [4 per cell]

---

[2]
# BaSrMg6

A relaxed structure of BaSrMg6 (PBE-GGA, Alexandria).

Energy relative to the elements = -0.004 eV per atom
Calculated volume = 507.3 Å³ per cell
ΔE to the lowest computed polymorph = 0 meV/atom

abc: 5.381 7.622 12.371
angles: 90.00 90.00 90.00
Space group Amm2 (No. 38)
Asymmetric unit:
Ba1 0.000 0.000 0.000 [2 per cell]
Sr1 0.500 0.000 0.696 [2 per cell]
Mg1 0.000 0.000 0.505 [2 per cell]
Mg2 0.000 0.205 0.269 [4 per cell]
Mg3 0.500 0.000 0.194 [2 per cell]
Mg4 0.500 0.206 0.428 [4 per cell]

---

- The lowest energy relative to the elements belongs to which entry?
  BaSrMg6

---

- Among the records above, which one has the highest calculated volume?
  BaSrMg6

---

- Among the records above, which one has the highest calculated volume?
  BaSrMg6

---

- What is the formula in the first record?
  KAlAg2